## AcSm3Tl (PBE-GGA)

Data for a geometry-optimized AcSm3Tl structure.

a b c (Å): 8.1091 8.1091 14.6780
angles (deg): 98.64 98.64 49.92
Closest atoms and distances in Å follow each position.
Atoms (fractional coordinates):
Ac: 0.1344 0.6361 0.6152  3 Sm 3.45-3.83
Ac: 0.3639 0.8656 0.8848  3 Sm 3.45-3.83
Ac: 0.6361 0.1344 0.1152  3 Sm 3.45-3.83
Ac: 0.8656 0.3639 0.3848  3 Sm 3.45-3.83
Sm: 0.1555 0.1569 0.6556  2 Tl 3.33-3.34, 5 Sm 3.42-3.56
Sm: 0.1569 0.1555 0.1556  2 Tl 3.33-3.34, 5 Sm 3.42-3.56
Sm: 0.2116 0.7107 0.0385  2 Tl 3.06
Sm: 0.2893 0.7884 0.4615  2 Tl 3.06
Sm: 0.3439 0.3438 0.3436  2 Tl 3.34, 5 Sm 3.42-3.56
Sm: 0.3438 0.3439 0.8436  2 Tl 3.34, 5 Sm 3.42-3.56
Sm: 0.6562 0.6561 0.1564  2 Tl 3.34, 5 Sm 3.42-3.56
Sm: 0.6561 0.6562 0.6564  2 Tl 3.34, 5 Sm 3.42-3.56
Sm: 0.7107 0.2116 0.5385  2 Tl 3.06
Sm: 0.7884 0.2893 0.9615  2 Tl 3.06
Sm: 0.8431 0.8445 0.8444  2 Tl 3.33-3.34, 5 Sm 3.42-3.56
Sm: 0.8445 0.8431 0.3444  2 Tl 3.33-3.34, 5 Sm 3.42-3.56
Tl: 0.0000 0.5000 0.0000  6 Sm 3.06-3.34
Tl: 0.2495 0.7505 0.2500  6 Sm 3.06-3.34
Tl: 0.5000 0.0000 0.5000  6 Sm 3.06-3.34
Tl: 0.7505 0.2495 0.7500  6 Sm 3.06-3.34

As for the calculated volume: 36.4 Å³ per atom. Its crystal system is monoclinic. The uncorrected energy is -4.107 eV/atom. The value obtained for the calculated formation energy is 0.02 eV per atom.